NdTc2H7 | PBE | relaxed

CIF file:
```
data_NdTc2H7
_symmetry_space_group_name_H-M 'C m m m'
_symmetry_Int_Tables_number 65
_symmetry_space_group_name_Hall '-C 2 2'
_cell_length_a 5.378
_cell_length_b 9.039
_cell_length_c 3.548
_cell_angle_alpha 90.00
_cell_angle_beta 90.00
_cell_angle_gamma 90.00
loop_
_atom_site_label
_atom_site_type_symbol
_atom_site_fract_x
_atom_site_fract_y
_atom_site_fract_z
Nd1 Nd 0.000 0.000 0.000
Tc1 Tc 0.000 0.307 0.500
H1 H 0.000 0.348 0.000
H2 H 0.000 0.500 0.500
H3 H 0.181 0.138 0.500
```

---

Nd12Tc3H5 | PBE | relaxed

CIF file:
```
data_Nd12Tc3H5
_symmetry_space_group_name_H-M 'I a -3 d'
_symmetry_Int_Tables_number 230
_symmetry_space_group_name_Hall '-I 4bd 2c 3'
_cell_length_a 15.646
_cell_length_b 15.646
_cell_length_c 15.646
_cell_angle_alpha 90.00
_cell_angle_beta 90.00
_cell_angle_gamma 90.00
loop_
_atom_site_label
_atom_site_type_symbol
_atom_site_fract_x
_atom_site_fract_y
_atom_site_fract_z
Nd1 Nd 0.032 0.063 0.655
Tc1 Tc 0.000 0.250 0.125
H1 H 0.000 0.000 0.000
H2 H 0.000 0.250 0.375
```

---

Nd2TcH | PBE | relaxed

CIF file:
```
data_Nd2TcH
_symmetry_space_group_name_H-M 'R -3 m'
_symmetry_Int_Tables_number 166
_symmetry_space_group_name_Hall '-R 3 2"'
_cell_length_a 3.3824
_cell_length_b 3.3824
_cell_length_c 24.5477
_cell_angle_alpha 90.00
_cell_angle_beta 90.00
_cell_angle_gamma 120.00
loop_
_atom_site_label
_atom_site_type_symbol
_atom_site_fract_x
_atom_site_fract_y
_atom_site_fract_z
Nd1 Nd 0.0000 0.0000 0.1036
Tc1 Tc 0.0000 0.0000 0.0000
H1 H 0.0000 0.0000 0.5000
```

---

NdTcH3 | PBE | relaxed

CIF file:
```
data_NdTcH3
_symmetry_space_group_name_H-M 'P m -3 m'
_symmetry_Int_Tables_number 221
_symmetry_space_group_name_Hall '-P 4 2 3'
_cell_length_a 3.738
_cell_length_b 3.738
_cell_length_c 3.738
_cell_angle_alpha 90.00
_cell_angle_beta 90.00
_cell_angle_gamma 90.00
loop_
_atom_site_label
_atom_site_type_symbol
_atom_site_fract_x
_atom_site_fract_y
_atom_site_fract_z
Nd1 Nd 0.000 0.000 0.000
Tc1 Tc 0.500 0.500 0.500
H1 H 0.000 0.500 0.500
```

---

Nd2TeH | PBE | relaxed

CIF file:
```
data_Nd2TeH
_symmetry_space_group_name_H-M 'R -3 m'
_symmetry_Int_Tables_number 166
_symmetry_space_group_name_Hall '-R 3 2"'
_cell_length_a 3.9844
_cell_length_b 3.9844
_cell_length_c 21.6712
_cell_angle_alpha 90.00
_cell_angle_beta 90.00
_cell_angle_gamma 120.00
loop_
_atom_site_label
_atom_site_type_symbol
_atom_site_fract_x
_atom_site_fract_y
_atom_site_fract_z
Nd1 Nd 0.0000 0.0000 0.2325
Te1 Te 0.0000 0.0000 0.0000
H1 H 0.0000 0.0000 0.5000
```

excess energy over the best structure of this formula in the dataset: 11.0 kJ/mol of atoms

---

Nd4Te3H | PBE | relaxed

CIF file:
```
data_Nd4Te3H
_symmetry_space_group_name_H-M 'P m n 21'
_symmetry_Int_Tables_number 31
_cell_length_a 9.776
_cell_length_b 8.544
_cell_length_c 6.301
_cell_angle_alpha 90.00
_cell_angle_beta 90.00
_cell_angle_gamma 90.00
loop_
_symmetry_equiv_pos_as_xyz
'x,y,z'
'-x+1/2,-y,z+1/2'
'-x,y,z'
'x+1/2,-y,z+1/2'
loop_
_atom_site_label
_atom_site_type_symbol
_atom_site_fract_x
_atom_site_fract_y
_atom_site_fract_z
Nd1 Nd 0.000 0.122 0.000
Nd2 Nd 0.000 0.871 0.501
Nd3 Nd 0.193 0.275 0.506
Te1 Te 0.000 0.764 0.002
Te2 Te 0.241 0.355 0.004
H1 H 0.000 0.137 0.373
```

---

NdTeH | PBE | relaxed

CIF file:
```
data_NdTeH
_symmetry_space_group_name_H-M 'I 4 m m'
_symmetry_Int_Tables_number 107
_symmetry_space_group_name_Hall 'I 4 -2'
_cell_length_a 3.550
_cell_length_b 3.550
_cell_length_c 10.765
_cell_angle_alpha 90.00
_cell_angle_beta 90.00
_cell_angle_gamma 90.00
loop_
_atom_site_label
_atom_site_type_symbol
_atom_site_fract_x
_atom_site_fract_y
_atom_site_fract_z
Nd1 Nd 0.000 0.000 0.000
Te1 Te 0.000 0.000 0.299
H1 H 0.000 0.000 0.566
```

---

Nd2TeH2 | PBE | relaxed

CIF file:
```
data_Nd2TeH2
_symmetry_space_group_name_H-M 'F d d d'
_symmetry_Int_Tables_number 70
_cell_length_a 8.486
_cell_length_b 9.503
_cell_length_c 10.285
_cell_angle_alpha 90.00
_cell_angle_beta 90.00
_cell_angle_gamma 90.00
loop_
_symmetry_equiv_pos_as_xyz
'x,y,z'
'-x,-y,-z'
'-x+1/4,-y+1/4,z'
'x+1/4,y+1/4,-z'
'x,-y+1/4,-z+1/4'
'-x,y+1/4,z+1/4'
'-x+1/4,y,-z+1/4'
'x+1/4,-y,z+1/4'
'x,y+1/2,z+1/2'
'-x,-y+1/2,-z+1/2'
'-x+1/4,-y+3/4,z+1/2'
'x+1/4,y+3/4,-z+1/2'
'x,-y+3/4,-z+3/4'
'-x,y+3/4,z+3/4'
'-x+1/4,y+1/2,-z+3/4'
'x+1/4,-y+1/2,z+3/4'
'x+1/2,y,z+1/2'
'-x+1/2,-y,-z+1/2'
'-x+3/4,-y+1/4,z+1/2'
'x+3/4,y+1/4,-z+1/2'
'x+1/2,-y+1/4,-z+3/4'
'-x+1/2,y+1/4,z+3/4'
'-x+3/4,y,-z+3/4'
'x+3/4,-y,z+3/4'
'x+1/2,y+1/2,z'
'-x+1/2,-y+1/2,-z'
'-x+3/4,-y+3/4,z'
'x+3/4,y+3/4,-z'
'x+1/2,-y+3/4,-z+1/4'
'-x+1/2,y+3/4,z+1/4'
'-x+3/4,y+1/2,-z+1/4'
'x+3/4,-y+1/2,z+1/4'
loop_
_atom_site_label
_atom_site_type_symbol
_atom_site_fract_x
_atom_site_fract_y
_atom_site_fract_z
Nd1 Nd 0.125 0.125 0.320
Te1 Te 0.125 0.125 0.625
H1 H 0.125 0.261 0.125
```

---

Nd2Te2H | PBE | relaxed

CIF file:
```
data_Nd2Te2H
_symmetry_space_group_name_H-M 'C m c 21'
_symmetry_Int_Tables_number 36
_cell_length_a 4.057
_cell_length_b 11.232
_cell_length_c 11.862
_cell_angle_alpha 90.00
_cell_angle_beta 90.00
_cell_angle_gamma 90.00
loop_
_symmetry_equiv_pos_as_xyz
'x,y,z'
'-x,-y,z+1/2'
'-x,y,z'
'x,-y,z+1/2'
'x+1/2,y+1/2,z'
'-x+1/2,-y+1/2,z+1/2'
'-x+1/2,y+1/2,z'
'x+1/2,-y+1/2,z+1/2'
loop_
_atom_site_label
_atom_site_type_symbol
_atom_site_fract_x
_atom_site_fract_y
_atom_site_fract_z
Nd1 Nd 0.000 0.051 0.000
Nd2 Nd 0.000 0.227 0.249
Te1 Te 0.000 0.062 0.740
Te2 Te 0.000 0.330 0.957
H1 H 0.000 0.363 0.614
```

---

Number 1: magnetic moment 0.00 μB per cell, uncorrected energy -4.99 eV/atom. Number 2: magnetic moment 0.00 μB per cell, uncorrected energy -5.36 eV/atom. Number 3: magnetic moment 0.00 μB per cell, uncorrected energy -5.32 eV/atom. Number 4: magnetic moment 0.00 μB per cell, uncorrected energy -5.38 eV/atom. Number 5: magnetic moment 0.00 μB per cell, uncorrected energy -4.79 eV/atom. Number 6: magnetic moment 0.50 μB per cell, uncorrected energy -4.92 eV/atom. Number 7: magnetic moment 0.16 μB per cell, uncorrected energy -4.32 eV/atom. Number 8: magnetic moment 0.00 μB per cell, uncorrected energy -4.73 eV/atom. Number 9: magnetic moment 1.61 μB per cell, uncorrected energy -4.91 eV/atom.